Entry from the Alexandria database: a geometry-optimized MnP2O structure (PBE with a Hubbard U).

Results
The magnetic moment comes out at 4.93 μB per formula unit. The calculation puts the mass density at 3.3 g/cm3. The electronic total energy comes out at -90.7 eV for the cell shown.

Geometry as extended XYZ:
```
16
Lattice="4.549 0.000 0.000 0.000 4.549 0.000 0.000 0.000 13.041" Properties=species:S:1:pos:R:3 pbc="T T T"
Mn 0.000 0.000 0.000
Mn 0.000 2.274 3.260
Mn 2.274 0.000 9.781
Mn 2.274 2.274 6.521
P 0.387 1.137 8.151
P 1.137 2.661 11.411
P 1.137 4.162 4.890
P 1.888 1.137 1.630
P 2.661 3.412 1.630
P 3.412 0.387 4.890
P 3.412 1.888 11.411
P 4.162 3.412 8.151
O 0.000 0.000 6.521
O 0.000 2.274 9.781
O 2.274 0.000 3.260
O 2.274 2.274 0.000
```